(1)
A plane-wave DFT calculation with PBE was carried out for a relaxed structure of Er3Ga2Hg3.

**Energy relative to the elements**: -44.2 kJ per mole of atoms
**Raw total energy**: -3.039 eV/atom
**Magnetization**: 0.00 μB/cell
**Crystal system**: orthorhombic

abc: 4.417 10.934 15.367
angles: 90.00 90.00 90.00
Space group Cmcm (No. 63)
Unique sites:
1 Er 0.000 0.077 0.111 (multiplicity 8)
2 Er 0.000 0.351 0.250 (multiplicity 4)
3 Ga 0.000 0.207 0.618 (multiplicity 8)
4 Hg 0.000 0.372 0.033 (multiplicity 8)
5 Hg 0.000 0.376 0.750 (multiplicity 4)


(2)
A plane-wave DFT calculation with PBE was carried out for a relaxed structure of Er2GaHg.

**Energy relative to the elements**: -50.1 kJ per mole of atoms
**Raw total energy**: -3.632 eV/atom
**Magnetization**: 0.00 μB/cell
**Crystal system**: orthorhombic

abc: 5.138 3.590 10.295
angles: 90.00 90.00 90.00
Space group Pmma (No. 51)
Unique sites:
1 Er 0.250 0.000 0.114 (multiplicity 2)
2 Er 0.250 0.000 0.631 (multiplicity 2)
3 Ga 0.250 0.500 0.872 (multiplicity 2)
4 Hg 0.250 0.500 0.369 (multiplicity 2)


(3)
A plane-wave DFT calculation with PBE was carried out for a relaxed structure of Er6Ga2Hg.

**Energy relative to the elements**: -19.4 kJ per mole of atoms
**Raw total energy**: -3.949 eV/atom
**Magnetization**: 0.00 μB/cell
**Crystal system**: orthorhombic

abc: 4.940 7.023 14.923
angles: 90.00 90.00 90.00
Space group Immm (No. 71)
Unique sites:
1 Er 0.000 0.246 0.000 (multiplicity 4)
2 Er 0.000 0.251 0.331 (multiplicity 8)
3 Ga 0.000 0.000 0.167 (multiplicity 4)
4 Hg 0.000 0.000 0.500 (multiplicity 2)


(4)
A plane-wave DFT calculation with PBE was carried out for a relaxed structure of Er4GaHg3.

**Energy relative to the elements**: -45.3 kJ per mole of atoms
**Raw total energy**: -3.242 eV/atom
**Magnetization**: 0.00 μB/cell
**Crystal system**: orthorhombic

abc: 3.842 4.630 11.375
angles: 90.00 90.00 90.00
Space group Pmm2 (No. 25)
Unique sites:
1 Er 0.000 0.000 0.000 (multiplicity 1)
2 Er 0.000 0.500 0.284 (multiplicity 1)
3 Er 0.500 0.000 0.490 (multiplicity 1)
4 Er 0.500 0.500 0.785 (multiplicity 1)
5 Ga 0.500 0.000 0.225 (multiplicity 1)
6 Hg 0.000 0.000 0.730 (multiplicity 1)
7 Hg 0.000 0.500 0.552 (multiplicity 1)
8 Hg 0.500 0.500 0.058 (multiplicity 1)


(5)
A plane-wave DFT calculation with PBE was carried out for a relaxed structure of ErGaHg2.

**Energy relative to the elements**: -23.7 kJ per mole of atoms
**Raw total energy**: -2.294 eV/atom
**Magnetization**: 0.00 μB/cell
**Crystal system**: tetragonal

abc: 3.758 3.758 6.582
angles: 90.00 90.00 90.00
Space group P4/mmm (No. 123)
Unique sites:
1 Er 0.000 0.000 0.000 (multiplicity 1)
2 Ga 0.000 0.000 0.500 (multiplicity 1)
3 Hg 0.500 0.500 0.259 (multiplicity 2)


(6)
A plane-wave DFT calculation with PBE was carried out for a relaxed structure of Er2GaHg.

**Energy relative to the elements**: -50.8 kJ per mole of atoms
**Raw total energy**: -3.640 eV/atom
**Magnetization**: 0.00 μB/cell
**Crystal system**: tetragonal

abc: 3.594 3.594 7.336
angles: 90.00 90.00 90.00
Space group P4/mmm (No. 123)
Unique sites:
1 Er 0.000 0.000 0.237 (multiplicity 2)
2 Ga 0.500 0.500 0.000 (multiplicity 1)
3 Hg 0.500 0.500 0.500 (multiplicity 1)


(7)
A plane-wave DFT calculation with PBE was carried out for a relaxed structure of Er4GaHg3.

**Energy relative to the elements**: -48.2 kJ per mole of atoms
**Raw total energy**: -3.272 eV/atom
**Magnetization**: 0.00 μB/cell
**Crystal system**: tetragonal

abc: 3.646 3.646 14.700
angles: 90.00 90.00 90.00
Space group P4/mmm (No. 123)
Unique sites:
1 Er 0.000 0.000 0.117 (multiplicity 2)
2 Er 0.000 0.000 0.372 (multiplicity 2)
3 Ga 0.500 0.500 0.000 (multiplicity 1)
4 Hg 0.500 0.500 0.245 (multiplicity 2)
5 Hg 0.500 0.500 0.500 (multiplicity 1)


(8)
A plane-wave DFT calculation with PBE was carried out for a relaxed structure of Er2Ga9Hg.

**Energy relative to the elements**: -26.6 kJ per mole of atoms
**Raw total energy**: -3.331 eV/atom
**Magnetization**: 0.00 μB/cell
**Crystal system**: tetragonal

abc: 4.226 4.226 13.318
angles: 90.00 90.00 90.00
Space group P4/mmm (No. 123)
Unique sites:
1 Er 0.000 0.000 0.159 (multiplicity 2)
2 Ga 0.000 0.500 0.000 (multiplicity 2)
3 Ga 0.000 0.500 0.327 (multiplicity 4)
4 Ga 0.500 0.500 0.158 (multiplicity 2)
5 Ga 0.500 0.500 0.500 (multiplicity 1)
6 Hg 0.000 0.000 0.500 (multiplicity 1)


(9)
A plane-wave DFT calculation with PBE was carried out for a relaxed structure of Er5Ga2Hg.

**Energy relative to the elements**: -31.5 kJ per mole of atoms
**Raw total energy**: -3.972 eV/atom
**Magnetization**: 0.00 μB/cell
**Crystal system**: orthorhombic

abc: 5.030 8.716 19.586
angles: 90.00 90.00 90.00
Space group Cmcm (No. 63)
Unique sites:
1 Er 0.000 0.000 0.154 (multiplicity 8)
2 Er 0.000 0.333 0.250 (multiplicity 4)
3 Er 0.000 0.334 0.554 (multiplicity 8)
4 Ga 0.000 0.333 0.096 (multiplicity 8)
5 Hg 0.000 0.334 0.750 (multiplicity 4)


(10)
A plane-wave DFT calculation with PBE was carried out for a relaxed structure of Er6Ga2Hg.

**Energy relative to the elements**: -40.0 kJ per mole of atoms
**Raw total energy**: -4.162 eV/atom
**Magnetization**: 0.00 μB/cell
**Crystal system**: orthorhombic

abc: 9.532 9.576 10.394
angles: 90.00 90.00 90.00
Space group Immm (No. 71)
Unique sites:
1 Er 0.000 0.204 0.177 (multiplicity 8)
2 Er 0.182 0.224 0.500 (multiplicity 8)
3 Er 0.199 0.500 0.254 (multiplicity 8)
4 Ga 0.000 0.000 0.378 (multiplicity 4)
5 Ga 0.147 0.000 0.000 (multiplicity 4)
6 Hg 0.000 0.500 0.000 (multiplicity 2)
7 Hg 0.000 0.500 0.500 (multiplicity 2)


(11)
A plane-wave DFT calculation with PBE was carried out for a relaxed structure of Er3Ga4Hg.

**Energy relative to the elements**: -34.8 kJ per mole of atoms
**Raw total energy**: -3.623 eV/atom
**Magnetization**: 0.00 μB/cell
**Crystal system**: orthorhombic

abc: 3.515 6.325 16.747
angles: 90.00 90.00 90.00
Space group Immm (No. 71)
Unique sites:
1 Er 0.000 0.000 0.000 (multiplicity 2)
2 Er 0.000 0.500 0.214 (multiplicity 4)
3 Ga 0.000 0.292 0.375 (multiplicity 8)
4 Hg 0.000 0.000 0.500 (multiplicity 2)


(12)
A plane-wave DFT calculation with PBE was carried out for a relaxed structure of Er5Ga4Hg.

**Energy relative to the elements**: -53.5 kJ per mole of atoms
**Raw total energy**: -4.076 eV/atom
**Magnetization**: 0.00 μB/cell
**Crystal system**: tetragonal

abc: 3.541 3.541 18.167
angles: 90.00 90.00 90.00
Space group P4/mmm (No. 123)
Unique sites:
1 Er 0.000 0.000 0.000 (multiplicity 1)
2 Er 0.000 0.000 0.195 (multiplicity 2)
3 Er 0.000 0.000 0.390 (multiplicity 2)
4 Ga 0.500 0.500 0.097 (multiplicity 2)
5 Ga 0.500 0.500 0.294 (multiplicity 2)
6 Hg 0.500 0.500 0.500 (multiplicity 1)


Q: Among the records above, which one has the lowest raw total energy?
A: number 10


Please write out number 5 again, unchanged.
A plane-wave DFT calculation with PBE was carried out for a relaxed structure of ErGaHg2.

**Energy relative to the elements**: -23.7 kJ per mole of atoms
**Raw total energy**: -2.294 eV/atom
**Magnetization**: 0.00 μB/cell
**Crystal system**: tetragonal

abc: 3.758 3.758 6.582
angles: 90.00 90.00 90.00
Space group P4/mmm (No. 123)
Unique sites:
1 Er 0.000 0.000 0.000 (multiplicity 1)
2 Ga 0.000 0.000 0.500 (multiplicity 1)
3 Hg 0.500 0.500 0.259 (multiplicity 2)